Below is a relaxed Mo3RuF crystal, with properties calculated at the PBE with a Hubbard U level.

Calculated values
As for the symmetry: Pm-3m. As for the total energy: -25.12 eV per formula unit. The calculation puts the density of states at the Fermi level at 3.379 states/eV per cell. Its calculated volume is 130.3 Å³ per cell.

POSCAR file:
```
Mo3RuF
1.0
5.070 0.000 0.000
0.000 5.070 0.000
0.000 0.000 5.070
Ru Mo F
1 3 1
direct
0.000 0.000 0.000
0.000 0.500 0.000
0.000 0.000 0.500
0.500 0.000 0.000
0.500 0.500 0.500
```